Pr3AlZn3: optimized geometry, PBE.

Cell: 4.6181 5.8294 14.2624 Å, 85.88 80.68 66.66°
With the nearest neighbours (Å) after each atom.
Sites, in units of the cell vectors:
Pr1 0.5422 0.3006 0.6151  7 Zn 3.17-3.40, 4 Al 3.17-3.25
Pr2 0.4578 0.6994 0.3849  7 Zn 3.17-3.40, 4 Al 3.17-3.25
Pr3 0.2377 0.2960 0.2286  6 Zn 3.12-3.28, 2 Al 3.46
Pr4 0.7623 0.7040 0.7714  6 Zn 3.12-3.28, 2 Al 3.46
Pr5 0.3944 0.2888 0.9224  7 Zn 3.12-3.32
Pr6 0.6056 0.7112 0.0776  7 Zn 3.12-3.32
Al1 0.7497 0.1037 0.3969  4 Zn 2.60-2.84
Al2 0.2503 0.8963 0.6031  4 Zn 2.60-2.84
Zn1 0.8687 0.7238 0.5387  1 Zn 2.64, 3 Al 2.65-2.84
Zn2 0.1313 0.2762 0.4613  1 Zn 2.64, 3 Al 2.65-2.84
Zn3 0.1028 0.8711 0.9233  2 Zn 2.57-2.58
Zn4 0.8972 0.1289 0.0767  2 Zn 2.57-2.58
Zn5 0.9438 0.8784 0.2341  1 Zn 2.58, 1 Al 2.60
Zn6 0.0562 0.1216 0.7659  1 Zn 2.58, 1 Al 2.60

**Crystal system**: monoclinic
**Formation enthalpy at 0 K**: -2.20 eV per formula unit

Pr2MgNi3H12: optimized geometry, PBE.

Cell: 6.0995 6.0995 6.0995 Å, 58.21 58.21 58.21°
With the nearest neighbours (Å) after each atom.
Sites, in units of the cell vectors:
Pr1 0.6105 0.6105 0.6105  9 H 2.38-2.60
Pr2 0.3895 0.3895 0.3895  9 H 2.38-2.60
Mg1 0.0000 0.0000 0.0000  6 H 2.00
Ni1 0.5000 0.0000 0.0000  6 H 1.62-1.65
Ni2 0.0000 0.5000 0.0000  6 H 1.62-1.65
Ni3 0.0000 0.0000 0.5000  6 H 1.62-1.65
H1 0.3081 0.3081 0.8669  2 Ni 1.62
H2 0.8834 0.8834 0.4074  1 Ni 1.65
H3 0.4074 0.8834 0.8834  1 Ni 1.65
H4 0.8669 0.3081 0.3081  2 Ni 1.62
H5 0.8834 0.4074 0.8834  1 Ni 1.65
H6 0.3081 0.8669 0.3081  2 Ni 1.62
H7 0.6919 0.6919 0.1331  2 Ni 1.62
H8 0.1166 0.1166 0.5926  1 Ni 1.65
H9 0.5926 0.1166 0.1166  1 Ni 1.65
H10 0.1331 0.6919 0.6919  2 Ni 1.62
H11 0.1166 0.5926 0.1166  1 Ni 1.65
H12 0.6919 0.1331 0.6919  2 Ni 1.62

**Crystal system**: trigonal
**Final energy**: -73.16 eV for the cell shown

Per-record total magnetization, μB per atom: 0.0000 0.0000